one) Below is a relaxed structure of CsSeBr2, with properties calculated at the GGA-PBE level.

Crystal system: tetragonal
V in Å³ per atom: 45.9

Lattice parameters (Å, degrees): 6.4456 6.4456 17.6606 90.00 90.00 90.00
Space group I-42d (No. 122)
Symmetry-distinct sites (fractional):
Cs 0.0000 0.0000 0.0000
Se 0.0000 0.0000 0.5000
Br 0.1141 0.2500 0.6250

two) Below is a relaxed structure of CsSeBr2, with properties calculated at the GGA-PBE level.

Crystal system: trigonal
V in Å³ per atom: 36.1

Lattice parameters (Å, degrees): 5.3332 5.3332 17.5692 90.00 90.00 120.00
Space group R-3m (No. 166, hexagonal axes)
Symmetry-distinct sites (fractional):
Cs 0.0000 0.0000 0.0000
Se 0.0000 0.0000 0.5000
Br 0.0000 0.0000 0.2042

three) Below is a relaxed structure of CsSeBr2, with properties calculated at the GGA-PBE level.

Crystal system: cubic
V in Å³ per atom: 35.9

Lattice parameters (Å, degrees): 8.3157 8.3157 8.3157 90.00 90.00 90.00
Space group Fm-3m (No. 225)
Symmetry-distinct sites (fractional):
Cs 0.0000 0.0000 0.0000
Se 0.0000 0.0000 0.5000
Br 0.2500 0.2500 0.2500

Top of the stability list: one), leading by 180 meV/atom.

one) Below is a relaxed structure of CsSe2Br, with properties calculated at the GGA-PBE level.

Crystal system: monoclinic
V in Å³ per atom: 48.7

Lattice parameters (Å, degrees): 10.7690 5.9652 14.0514 90.00 120.27 90.00
Space group P2_1/c (No. 14)
Symmetry-distinct sites (fractional):
Cs 0.1390 0.2192 0.4272
Se 0.3554 0.5845 0.7016
Se 0.4933 0.6721 0.1570
Br 0.0689 0.2195 0.1504

two) Below is a relaxed structure of CsSe2Br, with properties calculated at the GGA-PBE level.

Crystal system: cubic
V in Å³ per atom: 35.8

Lattice parameters (Å, degrees): 8.3013 8.3013 8.3013 90.00 90.00 90.00
Space group Fm-3m (No. 225)
Symmetry-distinct sites (fractional):
Cs 0.0000 0.0000 0.0000
Se 0.2500 0.2500 0.2500
Br 0.0000 0.0000 0.5000

Top of the stability list: one), leading by 1023 meV/atom.

one) Below is a relaxed structure of CsSe2Br, with properties calculated at the GGA-PBE level.

Crystal system: tetragonal
V in Å³ per atom: 37.1

Lattice parameters (Å, degrees): 5.1444 5.1444 22.4006 90.00 90.00 90.00
Space group I-42d (No. 122)
Symmetry-distinct sites (fractional):
Cs 0.0000 0.0000 0.0000
Se 0.0602 0.7500 0.6250
Br 0.0000 0.0000 0.5000

two) Below is a relaxed structure of CsSe2Br, with properties calculated at the GGA-PBE level.

Crystal system: trigonal
V in Å³ per atom: 36.7

Lattice parameters (Å, degrees): 5.1715 5.1715 19.0323 90.00 90.00 120.00
Space group R-3m (No. 166, hexagonal axes)
Symmetry-distinct sites (fractional):
Cs 0.0000 0.0000 0.0000
Se 0.0000 0.0000 0.1800
Br 0.0000 0.0000 0.5000

Top of the stability list: one), leading by 209 meV/atom.

one) Below is a relaxed structure of Cs3SeBr, with properties calculated at the GGA-PBE level.

Crystal system: monoclinic
V in Å³ per atom: 53.9

Lattice parameters (Å, degrees): 17.7807 12.7541 9.5180 90.00 91.62 90.00
Space group C2/c (No. 15)
Symmetry-distinct sites (fractional):
Cs 0.1043 0.0996 0.4001
Cs 0.1200 0.4655 0.5790
Cs 0.1946 0.1859 0.8341
Se 0.2404 0.0465 0.1443
Br 0.0000 0.1311 0.7500
Br 0.0000 0.3422 0.2500

two) Below is a relaxed structure of Cs3SeBr, with properties calculated at the GGA-PBE level.

Crystal system: cubic
V in Å³ per atom: 65.0

Lattice parameters (Å, degrees): 6.8756 6.8756 6.8756 90.00 90.00 90.00
Space group Pm-3m (No. 221)
Symmetry-distinct sites (fractional):
Cs 0.0000 0.0000 0.5000
Se 0.0000 0.0000 0.0000
Br 0.5000 0.5000 0.5000

Top of the stability list: one), leading by 118 meV/atom.